No. 1
The following is a PBE-GGA calculation of a geometry-optimized ThTiAs3 structure, from the Alexandria database.

Unit cell a=12.6110 b=5.8741 c=5.8168 alpha=90.00 beta=90.00 gamma=90.00
Closest atoms and distances in Å follow each position.
Space group Pbcm (No. 57)
Symmetry-distinct sites (fractional):
Th 0.1837 0.0050 0.2500  9 As 3.05-3.21
Ti 0.4215 0.7500 0.0000  6 As 2.54-2.76
As 0.0008 0.7500 0.0000  4 As 2.91-2.94, 4 Th 3.10-3.11
As 0.2700 0.5196 0.2500  2 Ti 2.76, 1 Th 3.05
As 0.4249 0.1045 0.2500  4 Ti 2.54-2.57

Calculated values
- Energy relative to the elements: -21.7 kcal/mol of atoms
- Electronic total energy: -6.7942 eV/atom
- Total magnetic moment: 0.00 μB/f.u.

***

No. 2
The following is a PBE-GGA calculation of a geometry-optimized Tm2ThAs3 structure, from the Alexandria database.

Unit cell a=4.1379 b=5.8730 c=12.3355 alpha=90.00 beta=90.00 gamma=90.00
Closest atoms and distances in Å follow each position.
Space group Immm (No. 71)
Symmetry-distinct sites (fractional):
Tm 0.0000 0.0000 0.1655  6 As 2.87-2.94
Th 0.0000 0.0000 0.5000  6 As 2.94-2.97
As 0.0000 0.5000 0.1728  4 Tm 2.87-2.94, 2 Th 2.97
As 0.0000 0.5000 0.5000  4 Tm 2.91, 2 Th 2.94

Calculated values
- Energy relative to the elements: -33.8 kcal/mol of atoms
- Electronic total energy: -6.5170 eV/atom
- Total magnetic moment: 0.00 μB/f.u.

***

No. 3
The following is a PBE-GGA calculation of a geometry-optimized Tm5ThAs6 structure, from the Alexandria database.

Unit cell a=7.1028 b=12.2911 c=7.1015 alpha=90.00 beta=109.52 gamma=90.00
Closest atoms and distances in Å follow each position.
Space group C2/m (No. 12)
Symmetry-distinct sites (fractional):
Tm 0.0000 0.0000 0.0000  6 As 2.86-2.90
Tm 0.0000 0.1669 0.5000  6 As 2.89-2.90
Tm 0.0000 0.3347 0.0000  6 As 2.86-2.90
Th 0.0000 0.5000 0.5000  6 As 2.94-2.95
As 0.2451 0.0000 0.7525  5 Tm 2.86-2.89, 1 Th 2.94
As 0.2457 0.1695 0.2456  5 Tm 2.86-2.90, 1 Th 2.95

Calculated values
- Energy relative to the elements: -34.4 kcal/mol of atoms
- Electronic total energy: -6.2981 eV/atom
- Total magnetic moment: 0.00 μB/f.u.

***

No. 4
The following is a PBE-GGA calculation of a geometry-optimized TmTh2As3 structure, from the Alexandria database.

Unit cell a=7.2715 b=12.5816 c=7.2573 alpha=90.00 beta=109.49 gamma=90.00
Closest atoms and distances in Å follow each position.
Space group C2/m (No. 12)
Symmetry-distinct sites (fractional):
Tm 0.0000 0.1675 0.0000  6 As 2.91
Th 0.0000 0.0000 0.5000  6 As 2.96-3.02
Th 0.0000 0.3351 0.5000  6 As 2.97-3.02
Th 0.0000 0.5000 0.0000  6 As 2.97-2.98
As 0.2390 0.0000 0.2398  2 Tm 2.91, 4 Th 2.96-3.01
As 0.2488 0.1702 0.7577  2 Tm 2.91, 4 Th 2.97-3.02

Calculated values
- Energy relative to the elements: -32.7 kcal/mol of atoms
- Electronic total energy: -6.9625 eV/atom
- Total magnetic moment: 0.00 μB/f.u.

***

Theoretical density: 7.78, 8.80, 8.67, 9.10 (Mg/m³)